Density functional theory data (PBE+U) for a relaxed HWBrF2 crystal.

Lattice parameters (Å, degrees): 4.2396 5.3284 4.2396 90.00 90.00 90.00
Site moments in Bohr magnetons follow the coordinates.
Fractional coordinates of all 5 atoms:
H 0.5000 0.5000 0.5000  0.37
Br 0.0000 0.5000 0.0000  0.09
W 0.0000 0.0000 0.0000  2.79
F 0.0000 0.0000 0.5000  0.02
F 0.5000 0.0000 0.0000  0.08

E, eV/cell: -21.0
Spin magnetization, μB/f.u.: 4.000